# PuNbPd6 | the Alexandria database | GGA-PBE | relaxed
data_PuNbPd6
_cell_length_a 4.0622
_cell_length_b 4.0622
_cell_length_c 8.1801
_cell_angle_alpha 90.00
_cell_angle_beta 90.00
_cell_angle_gamma 90.00
_space_group_name_H-M_alt 'P 4/m m m'
_space_group_IT_number 123
_space_group_name_Hall '-P 4 2'
loop_
_atom_site_label
_atom_site_type_symbol
_atom_site_fract_x
_atom_site_fract_y
_atom_site_fract_z
_atom_site_occupancy
Pu1 Pu 0.0000 0.0000 0.0000 1
Nb1 Nb 0.0000 0.0000 0.5000 1
Pd1 Pd 0.0000 0.5000 0.2679 1
Pd2 Pd 0.5000 0.5000 0.0000 1
Pd3 Pd 0.5000 0.5000 0.5000 1
# Energy relative to the elements (kJ per mole of atoms): -44.0

# Pm5YN4 | the Alexandria database | GGA-PBE | relaxed
data_Pm5YN4
_cell_length_a 15.6592
_cell_length_b 3.5678
_cell_length_c 7.3835
_cell_angle_alpha 90.00
_cell_angle_beta 103.04
_cell_angle_gamma 90.00
_space_group_name_H-M_alt 'C 1 2/m 1'
_space_group_IT_number 12
_space_group_name_Hall '-C 2y'
loop_
_atom_site_label
_atom_site_type_symbol
_atom_site_fract_x
_atom_site_fract_y
_atom_site_fract_z
_atom_site_occupancy
Pm1 Pm 0.0000 0.0000 0.0000 1
Pm2 Pm 0.1582 0.5000 0.8054 1
Pm3 Pm 0.1638 0.5000 0.3489 1
Y1 Y 0.0000 0.0000 0.5000 1
N1 N 0.0009 0.5000 0.7425 1
N2 N 0.1634 0.0000 0.5814 1
# Uncorrected formation energy (eV/atom): -1.16

# UZnMo | the Alexandria database | GGA-PBE | relaxed
data_UZnMo
_cell_length_a 3.1332
_cell_length_b 3.1332
_cell_length_c 11.3416
_cell_angle_alpha 90.00
_cell_angle_beta 90.00
_cell_angle_gamma 90.00
_space_group_name_H-M_alt 'I 4 m m'
_space_group_IT_number 107
_space_group_name_Hall 'I 4 -2'
loop_
_atom_site_label
_atom_site_type_symbol
_atom_site_fract_x
_atom_site_fract_y
_atom_site_fract_z
_atom_site_occupancy
U1 U 0.0000 0.0000 0.0000 1
Zn1 Zn 0.0000 0.0000 0.7028 1
Mo1 Mo 0.0000 0.0000 0.3432 1
# Energy relative to the elements (kJ per mole of atoms): 33.6

# RbUHg2F6 | the Alexandria database | GGA-PBE | relaxed
data_RbUHg2F6
_cell_length_a 6.9068
_cell_length_b 6.9068
_cell_length_c 40.9913
_cell_angle_alpha 90.00
_cell_angle_beta 90.00
_cell_angle_gamma 120.00
_space_group_name_H-M_alt 'R -3 m'
_space_group_IT_number 166
_space_group_name_Hall '-R 3 2"'
loop_
_atom_site_label
_atom_site_type_symbol
_atom_site_fract_x
_atom_site_fract_y
_atom_site_fract_z
_atom_site_occupancy
Rb1 Rb 0.0000 0.0000 0.0961 1
U1 U 0.0000 0.0000 0.0000 1
U2 U 0.0000 0.0000 0.5000 1
Hg1 Hg 0.0000 0.0000 0.2446 1
Hg2 Hg 0.0000 0.0000 0.3895 1
F1 F 0.0469 0.5235 0.1959 1
F2 F 0.0581 0.5291 0.6352 1
# Uncorrected formation energy (eV/atom): -2.71

# Li3Ho2Au4 | the Alexandria database | GGA-PBE | relaxed
data_Li3Ho2Au4
_cell_length_a 5.7637
_cell_length_b 15.2358
_cell_length_c 7.8141
_cell_angle_alpha 90.00
_cell_angle_beta 90.00
_cell_angle_gamma 90.00
_space_group_name_H-M_alt 'C m c e'
_space_group_IT_number 64
_space_group_name_Hall '-C 2ac 2'
loop_
_atom_site_label
_atom_site_type_symbol
_atom_site_fract_x
_atom_site_fract_y
_atom_site_fract_z
_atom_site_occupancy
Li1 Li 0.0000 0.0000 0.0000 1
Li2 Li 0.2500 0.2156 0.2500 1
Ho1 Ho 0.0000 0.1136 0.5877 1
Au1 Au 0.0000 0.1841 0.9571 1
Au2 Au 0.2500 0.0466 0.2500 1
# Energy relative to the elements (kJ per mole of atoms): -60.2

# HfBe2NbGa | the Alexandria database | GGA-PBE | relaxed
data_HfBe2NbGa
_cell_length_a 4.4272
_cell_length_b 4.4272
_cell_length_c 4.8423
_cell_angle_alpha 90.00
_cell_angle_beta 90.00
_cell_angle_gamma 90.00
_space_group_name_H-M_alt 'P 4/m m m'
_space_group_IT_number 123
_space_group_name_Hall '-P 4 2'
loop_
_atom_site_label
_atom_site_type_symbol
_atom_site_fract_x
_atom_site_fract_y
_atom_site_fract_z
_atom_site_occupancy
Hf1 Hf 0.0000 0.0000 0.0000 1
Be1 Be 0.0000 0.5000 0.0000 1
Nb1 Nb 0.5000 0.5000 0.5000 1
Ga1 Ga 0.0000 0.0000 0.5000 1
# Energy relative to the elements (kJ per mole of atoms): 145.5

# SrLiEr2S4 | the Alexandria database | GGA-PBE | relaxed
data_SrLiEr2S4
_cell_length_a 3.9414
_cell_length_b 13.0604
_cell_length_c 13.5454
_cell_angle_alpha 90.00
_cell_angle_beta 90.00
_cell_angle_gamma 90.00
_space_group_name_H-M_alt 'C m c m'
_space_group_IT_number 63
_space_group_name_Hall '-C 2c 2'
loop_
_atom_site_label
_atom_site_type_symbol
_atom_site_fract_x
_atom_site_fract_y
_atom_site_fract_z
_atom_site_occupancy
Sr1 Sr 0.0000 0.1170 0.2500 1
Li1 Li 0.0000 0.1535 0.7500 1
Er1 Er 0.0000 0.3721 0.0564 1
S1 S 0.0000 0.0000 0.0000 1
S2 S 0.0000 0.2685 0.6163 1
S3 S 0.0000 0.4438 0.2500 1
# Uncorrected formation energy (eV/atom): -1.93

# RbBiTe3Pb | the Alexandria database | GGA-PBE | relaxed
data_RbBiTe3Pb
_cell_length_a 10.3200
_cell_length_b 4.5434
_cell_length_c 10.9032
_cell_angle_alpha 90.00
_cell_angle_beta 104.14
_cell_angle_gamma 90.00
_space_group_name_H-M_alt 'P 1 21/m 1'
_space_group_IT_number 11
_space_group_name_Hall '-P 2yb'
loop_
_atom_site_label
_atom_site_type_symbol
_atom_site_fract_x
_atom_site_fract_y
_atom_site_fract_z
_atom_site_occupancy
Rb1 Rb 0.1795 0.2500 0.2146 1
Bi1 Bi 0.3589 0.7500 0.8521 1
Te1 Te 0.1356 0.2500 0.8390 1
Te2 Te 0.3233 0.7500 0.5468 1
Te3 Te 0.4311 0.7500 0.1430 1
Pb1 Pb 0.1288 0.2500 0.5593 1
# Uncorrected formation energy (eV/atom): -0.49

# Ba2ReIr | the Alexandria database | GGA-PBE | relaxed
data_Ba2ReIr
_cell_length_a 4.1987
_cell_length_b 5.1550
_cell_length_c 12.1594
_cell_angle_alpha 90.00
_cell_angle_beta 90.00
_cell_angle_gamma 90.00
_space_group_name_H-M_alt 'I m m 2'
_space_group_IT_number 44
_space_group_name_Hall 'I 2 -2'
loop_
_atom_site_label
_atom_site_type_symbol
_atom_site_fract_x
_atom_site_fract_y
_atom_site_fract_z
_atom_site_occupancy
Ba1 Ba 0.0000 0.0000 0.0000 1
Ba2 Ba 0.0000 0.5000 0.2275 1
Re1 Re 0.0000 0.0000 0.4124 1
Ir1 Ir 0.0000 0.5000 0.8207 1
# Energy relative to the elements (kJ per mole of atoms): 37.5

# CaMoRh2 | the Alexandria database | GGA-PBE | relaxed
data_CaMoRh2
_cell_length_a 2.8640
_cell_length_b 4.6395
_cell_length_c 10.4391
_cell_angle_alpha 90.00
_cell_angle_beta 90.00
_cell_angle_gamma 90.00
_space_group_name_H-M_alt 'I m m 2'
_space_group_IT_number 44
_space_group_name_Hall 'I 2 -2'
loop_
_atom_site_label
_atom_site_type_symbol
_atom_site_fract_x
_atom_site_fract_y
_atom_site_fract_z
_atom_site_occupancy
Ca1 Ca 0.0000 0.0000 0.0000 1
Mo1 Mo 0.0000 0.5000 0.7870 1
Rh1 Rh 0.0000 0.0000 0.4998 1
Rh2 Rh 0.0000 0.5000 0.2259 1
# Energy relative to the elements (kJ per mole of atoms): 5.3

# AlP2Pb | the Alexandria database | GGA-PBE | relaxed
data_AlP2Pb
_cell_length_a 6.8204
_cell_length_b 6.8204
_cell_length_c 6.8204
_cell_angle_alpha 90.00
_cell_angle_beta 90.00
_cell_angle_gamma 90.00
_space_group_name_H-M_alt 'F -4 3 m'
_space_group_IT_number 216
_space_group_name_Hall 'F -4 2 3'
loop_
_atom_site_label
_atom_site_type_symbol
_atom_site_fract_x
_atom_site_fract_y
_atom_site_fract_z
_atom_site_occupancy
Al1 Al 0.0000 0.0000 0.0000 1
P1 P 0.0000 0.0000 0.5000 1
P2 P 0.2500 0.2500 0.2500 1
Pb1 Pb 0.2500 0.2500 0.7500 1
# Energy relative to the elements (kJ per mole of atoms): 56.7

# Pm3DyEr5 | the Alexandria database | GGA-PBE | relaxed
data_Pm3DyEr5
_cell_length_a 8.6868
_cell_length_b 8.6868
_cell_length_c 15.3482
_cell_angle_alpha 90.00
_cell_angle_beta 90.00
_cell_angle_gamma 90.00
_space_group_name_H-M_alt 'I 4/m c m'
_space_group_IT_number 140
_space_group_name_Hall '-I 4 2c'
loop_
_atom_site_label
_atom_site_type_symbol
_atom_site_fract_x
_atom_site_fract_y
_atom_site_fract_z
_atom_site_occupancy
Pm1 Pm 0.0000 0.0000 0.2500 1
Pm2 Pm 0.1163 0.3837 0.0000 1
Dy1 Dy 0.0000 0.5000 0.2500 1
Er1 Er 0.0000 0.0000 0.0000 1
Er2 Er 0.2100 0.2900 0.3625 1
# Energy relative to the elements (kJ per mole of atoms): 25.7

| no. | calculated total energy (eV/atom) |
| --- | --- |
| 1 | -7.40 |
| 2 | -7.51 |
| 3 | -7.45 |
| 4 | -5.12 |
| 5 | -3.74 |
| 6 | -4.59 |
| 7 | -5.59 |
| 8 | -3.48 |
| 9 | -5.90 |
| 10 | -6.83 |
| 11 | -3.98 |
| 12 | -4.36 |